1.
A plane-wave DFT calculation with PBE-GGA was carried out for a relaxed SrCdIr2 crystal.

Structure (extended XYZ):
```
4
Lattice="3.0708 0.0000 0.0000 0.0000 3.0708 0.0000 0.0000 0.0000 8.3110" Properties=species:S:1:pos:R:3 pbc="T T T"
Sr 0.0000 0.0000 0.0000
Cd 0.0000 0.0000 4.1555
Ir 1.5354 1.5354 2.2909
Ir 1.5354 1.5354 6.0201
```

D(E_F)   1.081 states/eV per atom
SG   P4/mmm, No. 123
ΔH_f (0 K)   0.3621 eV/atom
Volume   78.4 Å³/cell


2.
A plane-wave DFT calculation with PBE-GGA was carried out for a relaxed SrCdIr crystal.

Structure (extended XYZ):
```
12
Lattice="3.0942 -6.6079 0.0000 3.0942 6.6079 0.0000 0.0000 0.0000 7.7296" Properties=species:S:1:pos:R:3 pbc="T T T"
Sr 3.0942 4.1394 6.9816
Sr 3.0942 2.4685 3.1167
Sr 3.0942 -2.4685 4.6129
Sr 3.0942 -4.1394 0.7481
Cd 1.5471 0.5402 5.7972
Cd 1.5471 -0.5402 1.9324
Cd 4.6414 0.5402 5.7972
Cd 4.6414 -0.5402 1.9324
Ir 3.0942 5.3518 4.1334
Ir 3.0942 1.2561 0.2686
Ir 3.0942 -1.2561 7.4610
Ir 3.0942 -5.3518 3.5962
```

D(E_F)   0.954 states/eV per atom
SG   Cmce, No. 64
ΔH_f (0 K)   -0.0604 eV/atom
Volume   316.1 Å³/cell


3.
A plane-wave DFT calculation with PBE-GGA was carried out for a relaxed SrCdIr2 crystal.

Structure (extended XYZ):
```
4
Lattice="4.2869 0.0000 0.0000 0.0000 4.2869 0.0000 0.0000 0.0000 4.2469" Properties=species:S:1:pos:R:3 pbc="T T T"
Sr 0.0000 0.0000 0.0000
Cd 2.1435 2.1435 0.0000
Ir 0.0000 2.1435 2.1234
Ir 2.1435 0.0000 2.1234
```

D(E_F)   0.915 states/eV per atom
SG   P4/mmm, No. 123
ΔH_f (0 K)   0.3045 eV/atom
Volume   78.0 Å³/cell


4.
A plane-wave DFT calculation with PBE-GGA was carried out for a relaxed SrCdIr crystal.

Structure (extended XYZ):
```
3
Lattice="3.4897 0.0000 0.0000 -1.7448 3.0222 0.0000 0.0000 0.0000 7.0050" Properties=species:S:1:pos:R:3 pbc="T T T"
Sr 0.0000 0.0000 0.0000
Cd 0.0000 2.0148 2.8679
Ir 1.7448 1.0074 4.8309
```

D(E_F)   0.606 states/eV per atom
SG   P3m1, No. 156
ΔH_f (0 K)   0.3811 eV/atom
Volume   73.9 Å³/cell


5.
A plane-wave DFT calculation with PBE-GGA was carried out for a relaxed SrCdIr2 crystal.

Structure (extended XYZ):
```
4
Lattice="5.5798 -1.4913 0.0000 5.5798 1.4913 0.0000 -2.1092 0.0000 4.8596" Properties=species:S:1:pos:R:3 pbc="T T T"
Sr 0.0000 0.0000 0.0000
Cd 0.9209 0.0000 3.0640
Ir 4.0724 0.0000 2.3062
Ir 8.2586 0.0000 0.7023
```

D(E_F)   0.676 states/eV per atom
SG   Cm, No. 8
ΔH_f (0 K)   0.1352 eV/atom
Volume   80.9 Å³/cell


6.
A plane-wave DFT calculation with PBE-GGA was carried out for a relaxed SrCd2Ir crystal.

Structure (extended XYZ):
```
4
Lattice="2.9918 -5.3941 0.0000 2.9918 5.3941 0.0000 -1.7908 0.0000 2.8651" Properties=species:S:1:pos:R:3 pbc="T T T"
Sr 0.0000 0.0000 0.0000
Cd 0.6005 2.6970 1.4325
Cd 0.6005 -2.6970 1.4325
Ir 2.9918 0.0000 0.0000
```

D(E_F)   0.439 states/eV per atom
SG   C2/m, No. 12
ΔH_f (0 K)   0.2305 eV/atom
Volume   92.5 Å³/cell


Question: Among the records above, which one has the lowest ΔH_f (0 K)?
Answer: number 2